[1]
First-principles (PBE-GGA) data for a relaxed structure of CsAg, as listed in the Alexandria database.

- N(E_F) (states/eV/f.u.) = 0.50
- spin magnetization (μB/atom) = 0.00
- mass density (g cm⁻³) = 4.331
- space-group type = Cmcm, No. 63
- volume (Å³/cell) = 185
- energy of formation (eV per atom) = 0.02

The structure in POSCAR format:
```
CsAg
1.0
-1.244 -4.739 2.252
4.318 -2.079 -1.991
3.950 4.080 4.308
Ag Cs
2 2
Cartesian
3.472 -1.340 5.546 Ag
3.553 -1.399 -0.978 Ag
1.418 -2.396 2.196 Cs
5.607 -0.342 2.373 Cs
```

[2]
First-principles (PBE-GGA) data for a relaxed structure of CsAg, as listed in the Alexandria database.

- N(E_F) (states/eV/f.u.) = 1.32
- spin magnetization (μB/atom) = 0.05
- mass density (g cm⁻³) = 4.063
- space-group type = P6_3/mmc, No. 194
- volume (Å³/cell) = 590
- energy of formation (eV per atom) = 0.10

The structure in POSCAR format:
```
CsAg
1.0
-8.079 -1.305 -6.776
8.367 -6.537 -0.387
-2.705 -3.695 3.937
Cs Ag
6 6
Cartesian
0.986 -3.685 -0.466 Cs
1.108 -7.009 -3.502 Cs
4.532 -6.456 -0.630 Cs
-3.525 -4.528 0.276 Cs
-3.403 -7.852 -2.760 Cs
-6.949 -5.081 -2.596 Cs
-3.978 -4.800 -4.923 Ag
1.561 -6.737 1.697 Ag
1.639 -8.865 -0.247 Ag
-1.786 -4.446 -3.084 Ag
-4.056 -2.672 -2.979 Ag
-0.631 -7.091 -0.142 Ag
```

[3]
First-principles (PBE-GGA) data for a relaxed structure of Cs4Ag3, as listed in the Alexandria database.

- N(E_F) (states/eV/f.u.) = 3.25
- spin magnetization (μB/atom) = 0.00
- mass density (g cm⁻³) = 3.951
- space-group type = P-3, No. 147
- volume (Å³/cell) = 1078
- energy of formation (eV per atom) = 0.04

The structure in POSCAR format:
```
Cs4Ag3
1.0
5.514 0.000 0.000
0.000 13.014 -7.514
0.000 0.000 15.028
Cs Ag
12 9
Cartesian
1.377 1.842 8.227 Cs
1.365 0.136 3.618 Cs
4.137 8.046 2.519 Cs
1.377 4.969 4.995 Cs
4.149 12.878 3.896 Cs
4.149 9.949 -5.587 Cs
1.377 6.204 9.319 Cs
1.365 9.813 5.823 Cs
1.365 3.065 13.101 Cs
4.137 6.810 -1.805 Cs
4.149 3.201 1.691 Cs
4.137 11.173 -0.713 Cs
4.124 3.717 10.345 Ag
1.389 9.297 -2.831 Ag
4.124 2.197 5.560 Ag
1.389 5.914 0.878 Ag
1.381 8.676 0.000 Ag
2.757 0.000 0.000 Ag
4.133 4.338 7.514 Ag
4.124 7.100 6.636 Ag
1.389 10.817 1.953 Ag
```

[4]
First-principles (PBE-GGA) data for a relaxed structure of CsCu3Ag, as listed in the Alexandria database.

- N(E_F) (states/eV/f.u.) = 1.69
- spin magnetization (μB/atom) = 0.00
- mass density (g cm⁻³) = 5.566
- space-group type = Pm-3m, No. 221
- volume (Å³/cell) = 129
- energy of formation (eV per atom) = 0.62

The structure in POSCAR format:
```
CsCu3Ag
1.0
-1.787 -3.575 -3.086
1.978 -3.562 2.982
-4.288 -0.154 2.661
Ag Cu Cs
1 3 1
Cartesian
0.000 0.000 0.000 Ag
-0.893 -1.787 -1.543 Cu
-2.144 -0.077 1.331 Cu
0.989 -1.781 1.491 Cu
-2.048 -3.645 1.279 Cs
```

Question: Which of these has the lowest N(E_F)?
Answer: number 1